[1]
The following is a PBE calculation of a relaxed Cu2MoAu2 crystal, from the Alexandria database.

abc: 7.593 7.593 2.717
angles: 90.00 90.00 90.00
Sites, in units of the cell vectors:
Cu 0.167 0.333 0.000
Cu 0.333 0.833 0.000
Cu 0.667 0.167 0.000
Cu 0.833 0.667 0.000
Mo 0.000 0.000 0.500
Mo 0.500 0.500 0.500
Au 0.134 0.634 0.500
Au 0.366 0.134 0.500
Au 0.634 0.866 0.500
Au 0.866 0.366 0.500

Calculated values
Its space group is No. 127. The value obtained for the formation energy is 374 meV/atom. The volume comes out at 15.67 Å³/atom. As for the magnetic moment: 0.00 Bohr magnetons per cell. For the energy relative to the lowest polymorph listed for this composition, the calculation gives 0.0 meV per atom.



[2]
The following is a PBE calculation of a relaxed YMg2Cd2Hg2 crystal, from the Alexandria database.

abc: 8.280 8.280 8.280
angles: 34.38 34.38 34.38
Sites, in units of the cell vectors:
Y 0.000 0.000 0.000
Mg 0.140 0.140 0.140
Mg 0.860 0.860 0.860
Cd 0.425 0.425 0.425
Cd 0.575 0.575 0.575
Hg 0.270 0.270 0.270
Hg 0.730 0.730 0.730

Calculated values
Its space group is No. 166. The value obtained for the formation energy is -217 meV/atom. The volume comes out at 23.06 Å³/atom. As for the magnetic moment: 0.00 Bohr magnetons per cell.



[3]
The following is a PBE calculation of a relaxed PmSmBi2 crystal, from the Alexandria database.

abc: 8.195 8.195 8.195
angles: 32.10 32.10 32.10
Sites, in units of the cell vectors:
Pm 0.000 0.000 0.000
Sm 0.829 0.829 0.829
Bi 0.413 0.413 0.413
Bi 0.582 0.582 0.582

Calculated values
Its space group is No. 160. The value obtained for the formation energy is -824 meV/atom. The volume comes out at 34.53 Å³/atom. As for the magnetic moment: 0.00 Bohr magnetons per cell. For the energy relative to the lowest polymorph listed for this composition, the calculation gives 109.0 meV per atom.



[4]
The following is a PBE calculation of a relaxed Pu2TaAl6 crystal, from the Alexandria database.

abc: 8.128 8.128 2.669
angles: 90.00 90.00 120.00
Sites, in units of the cell vectors:
Pu 0.333 0.667 0.000
Pu 0.667 0.333 0.000
Ta 0.000 0.000 0.000
Al 0.000 0.325 0.500
Al 0.000 0.675 0.500
Al 0.325 0.000 0.500
Al 0.325 0.325 0.500
Al 0.675 0.000 0.500
Al 0.675 0.675 0.500

Calculated values
Its space group is No. 191. The value obtained for the formation energy is 64 meV/atom. The volume comes out at 16.97 Å³/atom. As for the magnetic moment: 0.01 Bohr magnetons per cell.



[5]
The following is a PBE calculation of a relaxed CsCuGe2I8 crystal, from the Alexandria database.

abc: 8.337 8.337 10.224
angles: 90.00 90.00 120.00
Sites, in units of the cell vectors:
Cs 0.000 0.000 0.000
Cu 0.000 0.000 0.500
Ge 0.333 0.667 0.751
Ge 0.667 0.333 0.249
I 0.132 0.306 0.672
I 0.174 0.868 0.672
I 0.306 0.174 0.328
I 0.333 0.667 0.011
I 0.667 0.333 0.989
I 0.694 0.826 0.672
I 0.826 0.132 0.328
I 0.868 0.694 0.328

Calculated values
Its space group is No. 147. The volume comes out at 51.28 Å³/atom. As for the magnetic moment: 0.00 Bohr magnetons per cell. Its raw total energy is -31.32 eV for the cell shown.



[6]
The following is a PBE calculation of a relaxed PmPrCF crystal, from the Alexandria database.

abc: 5.250 4.352 4.352
angles: 59.45 90.00 90.00
Sites, in units of the cell vectors:
Pm 0.000 0.000 0.000
Pr 0.500 0.330 0.330
C 0.000 0.332 0.332
F 0.500 0.999 0.999

Calculated values
Its space group is No. 38. The volume comes out at 21.41 Å³/atom. As for the magnetic moment: 0.58 Bohr magnetons per cell. Its raw total energy is -25.31 eV for the cell shown.



[7]
The following is a PBE calculation of a relaxed HoHgPb2 crystal, from the Alexandria database.

abc: 11.400 11.400 11.400
angles: 17.93 17.93 17.93
Sites, in units of the cell vectors:
Ho 0.000 0.000 0.000
Hg 0.500 0.500 0.500
Pb 0.093 0.093 0.093
Pb 0.907 0.907 0.907

Calculated values
Its space group is No. 166. The value obtained for the formation energy is 110 meV/atom. The volume comes out at 30.64 Å³/atom. As for the magnetic moment: 0.00 Bohr magnetons per cell.



[8]
The following is a PBE calculation of a relaxed Tb4Pm5Dy4 crystal, from the Alexandria database.

abc: 9.504 9.504 9.504
angles: 94.06 94.06 149.12
Sites, in units of the cell vectors:
Tb 0.155 0.232 0.387
Tb 0.232 0.845 0.078
Tb 0.768 0.155 0.922
Tb 0.845 0.768 0.613
Pm 0.000 0.000 0.000
Pm 0.306 0.462 0.767
Pm 0.462 0.694 0.156
Pm 0.538 0.306 0.844
Pm 0.694 0.538 0.233
Dy 0.076 0.614 0.690
Dy 0.386 0.076 0.462
Dy 0.614 0.924 0.538
Dy 0.924 0.386 0.310

Calculated values
Its space group is No. 87. The value obtained for the formation energy is 15 meV/atom. The volume comes out at 32.68 Å³/atom. As for the magnetic moment: 0.00 Bohr magnetons per cell.